# 1
Material: Cr2NiPd6
Method: DFT, GGA-PBE
State: optimized geometry

Computed properties:
Crystal system: orthorhombic
E_tot (eV per atom): -6.289
SG: No. 69

Cell and atoms, written as extended XYZ:
```
9
Lattice="-0.9191 3.6274 1.2313 -4.6547 -3.5976 0.8225 7.1026 0.4515 3.9714" Properties=species:S:1:pos:R:3 pbc="T T T"
Cr 3.7140 1.6225 4.2941
Cr -2.1853 -1.1413 1.7311
Ni 3.5513 0.2257 1.9857
Pd 5.8108 0.3330 3.3563
Pd -1.0993 1.2586 1.7734
Pd 2.6280 -0.7774 4.2518
Pd 1.4490 1.4664 3.0634
Pd 0.0797 -0.9852 2.9617
Pd -4.2821 0.1483 2.6688
```

# 2
Material: La2Pm2Er15
Method: DFT, GGA-PBE
State: optimized geometry

Computed properties:
Crystal system: trigonal
E_tot (eV per atom): -4.343
SG: No. 166

Cell and atoms, written as extended XYZ:
```
19
Lattice="-5.1257 -1.6091 6.8394 -1.4856 -8.4662 -1.3253 5.9199 -3.3272 5.4337" Properties=species:S:1:pos:R:3 pbc="T T T"
La -0.6081 -11.7879 9.6289
La -0.0833 -1.6145 1.3188
Pm -0.4589 -8.8948 7.2657
Pm -0.2325 -4.5076 3.6820
Er -0.7428 -4.2331 -0.6627
Er 2.9600 -1.6636 2.7168
Er -2.5629 -0.8045 3.4197
Er 2.5415 -2.8017 5.8636
Er -4.0124 -3.7064 4.3422
Er 0.7795 -6.8944 0.7420
Er -2.5989 -6.3689 1.1719
Er 3.6549 -4.8990 3.3664
Er -1.7473 -2.1346 6.4095
Er -0.9660 -8.9570 3.3566
Er 2.5924 -6.4876 6.6044
Er -2.7152 -5.6620 7.2799
Er 0.2747 -4.4454 7.5912
Er -3.2838 -6.9148 4.3433
Er 2.0238 -7.7404 3.6678
```

The highest E_tot belongs to which entry? La2Pm2Er15

Look up the E_tot of the first one. -6.289 eV per atom